# 1
Compound: Li2PuI6
Source: Alexandria
Functional: PBE-GGA
Structure: optimized geometry

Unit cell a=16.400 b=12.944 c=7.868 alpha=90.00 beta=97.06 gamma=90.00
Space group C2/c (No. 15)
Asymmetric unit:
Li  0.130  0.074  0.207 [8 per cell]
Pu  0.000  0.410  0.250 [4 per cell]
I  0.103  0.422  0.952 [8 per cell]
I  0.116  0.251  0.409 [8 per cell]
I  0.148  0.101  0.881 [8 per cell]

Output
formation energy (no corrections) = -918 meV per atom
polymorph energy (0 for the lowest one) = 34 meV/atom

# 2
Compound: Sc2TlCl
Source: Alexandria
Functional: PBE-GGA
Structure: optimized geometry

Unit cell a=3.665 b=6.063 c=8.295 alpha=90.00 beta=90.00 gamma=90.00
Space group Immm (No. 71)
Asymmetric unit:
Sc  0.000  0.000  0.209 [4 per cell]
Tl  0.000  0.500  0.000 [2 per cell]
Cl  0.000  0.500  0.500 [2 per cell]

Output
formation energy (no corrections) = -570 meV per atom
polymorph energy (0 for the lowest one) = 120 meV/atom

# 3
Compound: Ac3PrNi2
Source: Alexandria
Functional: PBE-GGA
Structure: optimized geometry

Unit cell a=17.684 b=4.132 c=12.657 alpha=90.00 beta=124.93 gamma=90.00
Space group C2/m (No. 12)
Asymmetric unit:
Ac  0.085  0.000  0.449 [4 per cell]
Ac  0.087  0.000  0.941 [4 per cell]
Ac  0.158  0.500  0.253 [4 per cell]
Pr  0.160  0.500  0.760 [4 per cell]
Ni  0.233  0.500  0.546 [4 per cell]
Ni  0.234  0.500  0.047 [4 per cell]

# 4
Compound: Ba3SmTh2Bi6
Source: Alexandria
Functional: PBE-GGA
Structure: optimized geometry

Unit cell a=8.237 b=14.278 c=8.597 alpha=90.00 beta=108.64 gamma=90.00
Space group C2/m (No. 12)
Asymmetric unit:
Ba  0.000  0.000  0.000 [2 per cell]
Ba  0.000  0.334  0.000 [4 per cell]
Sm  0.000  0.500  0.500 [2 per cell]
Th  0.000  0.167  0.500 [4 per cell]
Bi  0.239  0.000  0.719 [4 per cell]
Bi  0.240  0.333  0.718 [8 per cell]

# 5
Compound: LaIn2Ag4
Source: Alexandria
Functional: PBE-GGA
Structure: optimized geometry

Unit cell a=7.285 b=7.285 c=5.792 alpha=90.00 beta=90.00 gamma=90.00
Space group I4/mmm (No. 139)
Asymmetric unit:
La  0.000  0.000  0.000 [2 per cell]
In  0.000  0.500  0.250 [4 per cell]
Ag  0.192  0.192  0.500 [8 per cell]

Output
polymorph energy (0 for the lowest one) = 0 meV/atom

# 6
Compound: Pm8Ga3SI4
Source: Alexandria
Functional: PBE-GGA
Structure: optimized geometry

Unit cell a=8.5820 b=8.5820 c=22.8123 alpha=90.00 beta=90.00 gamma=120.00
Space group R-3m (No. 166, hexagonal axes)
Asymmetric unit:
Pm  0.0000  0.0000  0.2355 [6 per cell]
Pm  0.0032  0.5016  0.2334 [18 per cell]
Ga  0.0000  0.5000  0.5000 [9 per cell]
S  0.0000  0.0000  0.5000 [3 per cell]
I  0.0000  0.0000  0.0000 [3 per cell]
I  0.0000  0.5000  0.0000 [9 per cell]

Output
formation energy (no corrections) = -954 meV per atom

The calculation returns the following raw total energy values, one per record and in order: -3.97 -4.79 -4.96 -4.86 -3.33 -4.54 eV per atom.